No. 1
{"formula": "KReTe4Au3", "functional": "PBE", "state": "optimized geometry", "energy_ev_per_cell": -35.26, "lattice": [[-3.062, -5.381, 2.857], [5.638, -1.291, 3.612], [-2.309, 3.985, 5.029]], "species": ["Au", "Au", "Au", "K", "Re", "Te", "Te", "Te", "Te"], "fractional_positions": [[0.500, 0.500, 0.000], [0.500, 0.000, 0.500], [0.000, 0.500, 0.500], [0.000, 0.000, 0.000], [0.500, 0.500, 0.500], [0.283, 0.283, 0.283], [0.717, 0.717, 0.283], [0.717, 0.283, 0.717], [0.283, 0.717, 0.717]]}

=====

No. 2
{"formula": "TbYNO", "functional": "PBE", "state": "optimized geometry", "polymorph_energy_ev_per_atom": 0.591, "lattice": [[4.284, 0.000, 0.000], [0.000, 4.284, 0.000], [0.000, 0.000, 7.874]], "species": ["N", "N", "O", "O", "Tb", "Tb", "Y", "Y"], "fractional_positions": [[0.750, 0.750, 0.378], [0.250, 0.250, 0.622], [0.750, 0.250, 0.000], [0.250, 0.750, 0.000], [0.750, 0.250, 0.500], [0.250, 0.750, 0.500], [0.250, 0.250, 0.102], [0.750, 0.750, 0.898]]}